# 1
# CdHg2RuPb

A geometry-optimized CdHg2RuPb structure (GGA-PBE, the Alexandria database).

extended XYZ file:
```
5
Lattice="5.8565 0.0000 0.0000 0.0000 5.8565 0.0000 0.0000 0.0000 5.2652" Properties=species:S:1:pos:R:3 pbc="T T T"
Cd 0.0000 0.0000 0.0000
Hg 0.0000 2.9282 2.6326
Hg 2.9282 0.0000 2.6326
Ru 2.9282 2.9282 0.0000
Pb 2.9282 2.9282 2.6326
```

Output
Final energy (eV per cell): -9.5
Symmetry: P4/mmm (123)
Calculated density (Mg/m³): 7.6
DFT formation energy (kJ/mol of atoms): 97

---

# 2
# MgCI2N

A geometry-optimized MgCI2N structure (GGA-PBE, the Alexandria database).

extended XYZ file:
```
5
Lattice="5.7527 0.0000 0.0000 0.0000 5.7527 0.0000 0.0000 0.0000 4.0584" Properties=species:S:1:pos:R:3 pbc="T T T"
Mg 0.0000 0.0000 0.0000
C 2.8763 2.8763 2.0292
I 0.0000 2.8763 0.0000
I 2.8763 0.0000 0.0000
N 0.0000 0.0000 2.0292
```

Output
Final energy (eV per cell): -13.7
Polymorph energy (0 for the lowest one) (meV/atom): 850
Symmetry: P4/mmm (123)
ΔE_f (raw) (eV per formula unit): 8.53
Calculated density (Mg/m³): 3.8

---

# 3
# Ac2DySb3Pt4

A geometry-optimized Ac2DySb3Pt4 structure (GGA-PBE, the Alexandria database).

extended XYZ file:
```
10
Lattice="4.6579 0.0000 0.0000 0.0000 4.6579 0.0000 0.0000 0.0000 11.3543" Properties=species:S:1:pos:R:3 pbc="T T T"
Ac 0.0000 2.3289 2.5223
Ac 2.3289 0.0000 8.8320
Dy 0.0000 0.0000 5.6771
Sb 0.0000 2.3289 9.9304
Sb 2.3289 0.0000 1.4239
Sb 2.3289 2.3289 5.6771
Pt 0.0000 0.0000 0.0000
Pt 0.0000 2.3289 7.2827
Pt 2.3289 0.0000 4.0716
Pt 2.3289 2.3289 0.0000
```

Output
Final energy (eV per cell): -59.3
Symmetry: P-4m2 (115)
ΔE_f (raw) (eV per formula unit): -9.94
Calculated density (Mg/m³): 11.9

---

Q: Which value of final energy does entry 1 give?
A: -9.5 eV per cell